Entry 1:
Compound: YHg2Ru
Source: Alexandria via LeMat-Bulk
Functional: PBE-GGA
Structure: optimized geometry

Output
Its total magnetic moment is 0.000 μB per atom. The total DFT energy (no corrections) is -4.14 eV/atom. The calculation puts the energy relative to the elements at -1.14 kcal/mol of atoms. The calculation puts the distance to the lowest polymorph of the same formula at 88 meV/atom.

Cell lengths 3.655, 4.138, 6.168 Å; angles 90.00, 107.09, 90.00 degrees
Space group Pm (No. 6)
Symmetry-distinct sites (fractional):
Y (0.000, 0.000, 0.000) [1 per cell]
Hg (0.273, 0.000, 0.546) [1 per cell]
Hg (0.662, 0.500, 0.327) [1 per cell]
Ru (0.429, 0.500, 0.856) [1 per cell]


Entry 2:
Compound: YHgRu2
Source: Alexandria via LeMat-Bulk
Functional: PBE-GGA
Structure: optimized geometry

Output
Its total magnetic moment is 0.001 μB per atom. The total DFT energy (no corrections) is -6.04 eV/atom. The calculation puts the energy relative to the elements at 6.60 kcal/mol of atoms.

Cell lengths 5.958, 9.263, 3.007 Å; angles 90.00, 117.07, 90.00 degrees
Space group C2/m (No. 12)
Symmetry-distinct sites (fractional):
Y (0.000, 0.000, 0.000) [2 per cell]
Hg (0.000, 0.500, 0.000) [2 per cell]
Ru (0.250, 0.250, 0.500) [4 per cell]


Entry 3:
Compound: YHg2Ru
Source: Alexandria via LeMat-Bulk
Functional: PBE-GGA
Structure: optimized geometry

Output
Its total magnetic moment is 0.000 μB per atom. The total DFT energy (no corrections) is -4.00 eV/atom. The calculation puts the energy relative to the elements at 2.01 kcal/mol of atoms. The calculation puts the distance to the lowest polymorph of the same formula at 224 meV/atom.

Cell lengths 3.5095, 3.5095, 26.0479 Å; angles 90.00, 90.00, 120.00 degrees
Space group R3m (No. 160, hexagonal axes)
Symmetry-distinct sites (fractional):
Y (0.0000, 0.0000, 0.0000) [3 per cell]
Hg (0.0000, 0.0000, 0.5188) [3 per cell]
Hg (0.0000, 0.0000, 0.7619) [3 per cell]
Ru (0.0000, 0.0000, 0.2615) [3 per cell]


Entry 4:
Compound: YHg2Ru
Source: Alexandria via LeMat-Bulk
Functional: PBE-GGA
Structure: optimized geometry

Output
Its total magnetic moment is 0.000 μB per atom. The total DFT energy (no corrections) is -4.13 eV/atom. The calculation puts the energy relative to the elements at -0.96 kcal/mol of atoms. The calculation puts the distance to the lowest polymorph of the same formula at 95 meV/atom.

Cell lengths 3.457, 3.457, 7.267 Å; angles 90.00, 90.00, 90.00 degrees
Space group P4mm (No. 99)
Symmetry-distinct sites (fractional):
Y (0.000, 0.000, 0.000) [1 per cell]
Hg (0.000, 0.000, 0.571) [1 per cell]
Hg (0.500, 0.500, 0.305) [1 per cell]
Ru (0.500, 0.500, 0.785) [1 per cell]


Entry 5:
Compound: YHg2Ru
Source: Alexandria via LeMat-Bulk
Functional: PBE-GGA
Structure: optimized geometry

Output
Its total magnetic moment is 0.378 μB per atom. The total DFT energy (no corrections) is -3.75 eV/atom. The calculation puts the energy relative to the elements at 7.70 kcal/mol of atoms. The calculation puts the distance to the lowest polymorph of the same formula at 471 meV/atom.

Cell lengths 3.2617, 3.2617, 28.5968 Å; angles 90.00, 90.00, 120.00 degrees
Space group R-3m (No. 166, hexagonal axes)
Symmetry-distinct sites (fractional):
Y (0.0000, 0.0000, 0.0000) [3 per cell]
Hg (0.0000, 0.0000, 0.2424) [6 per cell]
Ru (0.0000, 0.0000, 0.5000) [3 per cell]


Entry 6:
Compound: YHgRu2
Source: Alexandria via LeMat-Bulk
Functional: PBE-GGA
Structure: optimized geometry

Output
Its total magnetic moment is 0.000 μB per atom. The total DFT energy (no corrections) is -5.90 eV/atom. The calculation puts the energy relative to the elements at 9.91 kcal/mol of atoms.

Cell lengths 3.0039, 3.0039, 28.9096 Å; angles 90.00, 90.00, 120.00 degrees
Space group R3m (No. 160, hexagonal axes)
Symmetry-distinct sites (fractional):
Y (0.0000, 0.0000, 0.0000) [3 per cell]
Hg (0.0000, 0.0000, 0.7629) [3 per cell]
Ru (0.0000, 0.0000, 0.2470) [3 per cell]
Ru (0.0000, 0.0000, 0.5135) [3 per cell]


Entry 7:
Compound: YHg2Ru
Source: Alexandria via LeMat-Bulk
Functional: PBE-GGA
Structure: optimized geometry

Output
Its total magnetic moment is 0.000 μB per atom. The total DFT energy (no corrections) is -4.12 eV/atom. The calculation puts the energy relative to the elements at -0.74 kcal/mol of atoms. The calculation puts the distance to the lowest polymorph of the same formula at 105 meV/atom.

Cell lengths 4.332, 4.332, 8.767 Å; angles 90.00, 90.00, 90.00 degrees
Space group I-4m2 (No. 119)
Symmetry-distinct sites (fractional):
Y (0.000, 0.000, 0.000) [2 per cell]
Hg (0.000, 0.000, 0.500) [2 per cell]
Hg (0.000, 0.500, 0.250) [2 per cell]
Ru (0.000, 0.500, 0.750) [2 per cell]


Entry 8:
Compound: Y3HgRu
Source: Alexandria via LeMat-Bulk
Functional: PBE-GGA
Structure: optimized geometry

Output
Its total magnetic moment is 0.000 μB per atom. The total DFT energy (no corrections) is -5.94 eV/atom. The calculation puts the energy relative to the elements at -3.47 kcal/mol of atoms. The calculation puts the distance to the lowest polymorph of the same formula at 252 meV/atom.

Cell lengths 5.332, 5.332, 5.332 Å; angles 90.00, 90.00, 90.00 degrees
Space group Pm-3m (No. 221)
Symmetry-distinct sites (fractional):
Y (0.000, 0.000, 0.500) [3 per cell]
Hg (0.500, 0.500, 0.500) [1 per cell]
Ru (0.000, 0.000, 0.000) [1 per cell]


Entry 9:
Compound: YHgRu3
Source: Alexandria via LeMat-Bulk
Functional: PBE-GGA
Structure: optimized geometry

Output
Its total magnetic moment is 0.871 μB per atom. The total DFT energy (no corrections) is -5.32 eV/atom. The calculation puts the energy relative to the elements at 36.90 kcal/mol of atoms. The calculation puts the distance to the lowest polymorph of the same formula at 0 meV/atom.

Cell lengths 4.937, 4.937, 4.937 Å; angles 90.00, 90.00, 90.00 degrees
Space group Pm-3m (No. 221)
Symmetry-distinct sites (fractional):
Y (0.000, 0.000, 0.000) [1 per cell]
Hg (0.500, 0.500, 0.500) [1 per cell]
Ru (0.000, 0.500, 0.500) [3 per cell]


Entry 10:
Compound: Y5Hg4Ru
Source: Alexandria via LeMat-Bulk
Functional: PBE-GGA
Structure: optimized geometry

Output
Its total magnetic moment is 0.000 μB per atom. The total DFT energy (no corrections) is -4.76 eV/atom. The calculation puts the energy relative to the elements at -11.10 kcal/mol of atoms.

Cell lengths 3.607, 3.607, 18.905 Å; angles 90.00, 90.00, 90.00 degrees
Space group P4/mmm (No. 123)
Symmetry-distinct sites (fractional):
Y (0.000, 0.000, 0.000) [1 per cell]
Y (0.000, 0.000, 0.205) [2 per cell]
Y (0.000, 0.000, 0.414) [2 per cell]
Hg (0.500, 0.500, 0.102) [2 per cell]
Hg (0.500, 0.500, 0.307) [2 per cell]
Ru (0.500, 0.500, 0.500) [1 per cell]


Entry 11:
Compound: Y5HgRu
Source: Alexandria via LeMat-Bulk
Functional: PBE-GGA
Structure: optimized geometry

Output
Its total magnetic moment is 0.000 μB per atom. The total DFT energy (no corrections) is -6.16 eV/atom. The calculation puts the energy relative to the elements at -4.10 kcal/mol of atoms.

Cell lengths 9.403, 7.344, 11.820 Å; angles 90.00, 106.16, 90.00 degrees
Space group C2/c (No. 15)
Symmetry-distinct sites (fractional):
Y (0.000, 0.008, 0.250) [4 per cell]
Y (0.121, 0.331, 0.563) [8 per cell]
Y (0.249, 0.167, 0.126) [8 per cell]
Hg (0.000, 0.419, 0.250) [4 per cell]
Ru (0.000, 0.000, 0.000) [4 per cell]


Entry 12:
Compound: YHgRu2
Source: Alexandria via LeMat-Bulk
Functional: PBE-GGA
Structure: optimized geometry

Output
Its total magnetic moment is 0.381 μB per atom. The total DFT energy (no corrections) is -6.23 eV/atom. The calculation puts the energy relative to the elements at 2.24 kcal/mol of atoms.

Cell lengths 4.286, 4.286, 3.986 Å; angles 90.00, 90.00, 90.00 degrees
Space group P4/mmm (No. 123)
Symmetry-distinct sites (fractional):
Y (0.000, 0.000, 0.000) [1 per cell]
Hg (0.500, 0.500, 0.000) [1 per cell]
Ru (0.000, 0.500, 0.500) [2 per cell]


Entry 13:
Compound: Y5HgRu4
Source: Alexandria via LeMat-Bulk
Functional: PBE-GGA
Structure: optimized geometry

Output
Its total magnetic moment is 0.000 μB per atom. The total DFT energy (no corrections) is -7.33 eV/atom. The calculation puts the energy relative to the elements at -8.36 kcal/mol of atoms.

Cell lengths 3.442, 3.442, 17.773 Å; angles 90.00, 90.00, 90.00 degrees
Space group P4/mmm (No. 123)
Symmetry-distinct sites (fractional):
Y (0.000, 0.000, 0.000) [1 per cell]
Y (0.000, 0.000, 0.189) [2 per cell]
Y (0.000, 0.000, 0.379) [2 per cell]
Hg (0.500, 0.500, 0.500) [1 per cell]
Ru (0.500, 0.500, 0.096) [2 per cell]
Ru (0.500, 0.500, 0.290) [2 per cell]


Entry 14:
Compound: YHgRu2
Source: Alexandria via LeMat-Bulk
Functional: PBE-GGA
Structure: optimized geometry

Output
Its total magnetic moment is 0.000 μB per atom. The total DFT energy (no corrections) is -5.87 eV/atom. The calculation puts the energy relative to the elements at 10.64 kcal/mol of atoms.

Cell lengths 3.1647, 3.1647, 26.3787 Å; angles 90.00, 90.00, 120.00 degrees
Space group R-3m (No. 166, hexagonal axes)
Symmetry-distinct sites (fractional):
Y (0.0000, 0.0000, 0.0000) [3 per cell]
Hg (0.0000, 0.0000, 0.5000) [3 per cell]
Ru (0.0000, 0.0000, 0.2504) [6 per cell]


Entry 15:
Compound: YHgRu2
Source: Alexandria via LeMat-Bulk
Functional: PBE-GGA
Structure: optimized geometry

Output
Its total magnetic moment is 0.000 μB per atom. The total DFT energy (no corrections) is -6.21 eV/atom. The calculation puts the energy relative to the elements at 2.72 kcal/mol of atoms.

Cell lengths 4.369, 3.265, 10.856 Å; angles 90.00, 90.00, 90.00 degrees
Space group Amm2 (No. 38)
Symmetry-distinct sites (fractional):
Y (0.000, 0.000, 0.000) [2 per cell]
Hg (0.500, 0.000, 0.657) [2 per cell]
Ru (0.000, 0.000, 0.276) [2 per cell]
Ru (0.500, 0.000, 0.382) [2 per cell]